The following is a DFT calculation (PBE-GGA) of crystalline VCo3Re at its relaxed geometry.

Summary:
Distance to the lowest polymorph of the same formula (kcal/mol of atoms): 8.67
Formation enthalpy at 0 K (eV per atom): 0.354
Size of the total moment (μB per cell): 1.10

a = 4.4480 Å, b = 7.8790 Å, c = 7.4393 Å
α = 90.00°, β = 90.00°, γ = 90.00°
Space group Imma (No. 74)
One atom of each set of equivalent atoms:
V (0.0000, 0.2500, 0.0382) [4 per cell]
Co (0.0000, 0.0100, 0.1730) [8 per cell]
Co (0.2500, 0.2500, 0.7500) [4 per cell]
Re (0.0000, 0.0000, 0.5000) [4 per cell]